First-principles (PBE) data for a relaxed CdSiC2 crystal, as listed in the Alexandria database.

abc: 4.921 4.921 5.668
angles: 64.27 64.27 90.00
Fractional positions:
C 0.375 0.450 0.750
C 0.550 0.125 0.250
Cd 0.750 0.250 0.500
Cd 0.000 0.000 0.000
Si 0.250 0.750 0.500
Si 0.500 0.500 0.000
C 0.875 0.800 0.750
C 0.200 0.625 0.250

## Properties
- raw formation energy (kJ/mol of formula units) = 364
- polymorph energy (0 for the lowest one) (eV per formula unit) = 0.000